1.
BeNiB4 (PBE, optimized geometry); SG = No. 71
1.0
-0.210 -3.918 -1.551
2.591 -1.443 3.000
-3.896 1.572 -0.379
B Ni Be
4 1 1
direct
0.926 0.260 0.666
0.405 0.740 0.666
0.595 0.260 0.334
0.074 0.740 0.334
0.500 0.500 0.000
0.000 0.000 0.000

2.
BeNiB (PBE, optimized geometry); SG = No. 216
1.0
0.643 0.103 3.346
-1.547 2.319 1.962
-2.392 -0.973 2.226
B Be Ni
1 1 1
direct
0.250 0.250 0.250
0.750 0.750 0.750
0.000 0.000 0.000

3.
BeNiBPd (PBE, optimized geometry); SG = No. 216
1.0
0.000 2.744 2.744
2.744 0.000 2.744
2.744 2.744 0.000
Be B Ni Pd
1 1 1 1
direct
0.250 0.250 0.250
0.000 0.000 0.000
0.500 0.500 0.500
0.750 0.750 0.750

4.
BeNiBPd (PBE, optimized geometry); SG = No. 216
1.0
0.086 0.574 3.751
-2.310 -1.974 2.275
1.422 -2.667 2.295
B Ni Pd Be
1 1 1 1
direct
0.000 0.000 0.000
0.750 0.750 0.750
0.250 0.250 0.250
0.500 0.500 0.500

5.
BeNiBPt (PBE, optimized geometry); SG = No. 216
1.0
0.000 2.704 2.704
2.704 0.000 2.704
2.704 2.704 0.000
Pt Ni Be B
1 1 1 1
direct
0.250 0.250 0.250
0.750 0.750 0.750
0.500 0.500 0.500
0.000 0.000 0.000

6.
BeNiBPt (PBE, optimized geometry); SG = No. 216
1.0
1.018 -1.244 3.563
-1.412 -3.379 1.369
2.362 -3.091 0.391
Ni Be B Pt
1 1 1 1
direct
0.500 0.500 0.500
0.250 0.250 0.250
0.000 0.000 0.000
0.750 0.750 0.750

7.
BeReNiB (PBE, optimized geometry); SG = No. 216
1.0
0.000 2.741 2.741
2.741 0.000 2.741
2.741 2.741 0.000
Re B Be Ni
1 1 1 1
direct
0.750 0.750 0.750
0.000 0.000 0.000
0.250 0.250 0.250
0.500 0.500 0.500

8.
BeReNiB (PBE, optimized geometry); SG = No. 216
1.0
0.755 -3.315 1.898
-0.307 -0.135 3.879
-2.902 -2.000 1.655
Ni Re B Be
1 1 1 1
direct
0.750 0.750 0.750
0.500 0.500 0.500
0.000 0.000 0.000
0.250 0.250 0.250

The records above give, respectively, E values of -0.21612 -0.18652 -0.18353 -0.19803 -0.20898 -0.19380 -0.24727 -0.23464 Ha/atom.